(1)
Below is crystalline BaNb2Xe5F22 at its relaxed geometry, with properties calculated at the PBE level.

It has space group Fmmm (No. 69), with a = 11.4940 Å, b = 13.1897 Å, c = 13.4606 Å, α = 90.00°, β = 90.00° and γ = 90.00°. Symmetry generates all atoms from Ba at (0.0000, 0.0000, 0.0000), Nb at (0.2500, 0.0000, 0.2500), Xe at (0.0000, 0.0000, 0.5000), Xe at (0.0000, 0.2500, 0.2500), Xe at (0.2500, 0.2500, 0.0000), F at (0.0000, 0.1556, 0.5000), F at (0.0000, 0.1806, 0.1122), F at (0.1110, 0.0000, 0.1712), F at (0.1802, 0.1039, 0.3311) and F at (0.2017, 0.0996, 0.0000).

The value obtained for the uncorrected energy is -3.932 eV/atom.

(2)
Below is crystalline ZrS2 at its relaxed geometry, with properties calculated at the PBE level.

It has space group I4/mmm (No. 139), with a = 3.4249 Å, b = 3.4249 Å, c = 8.5402 Å, α = 90.00°, β = 90.00° and γ = 90.00°. Symmetry generates all atoms from Zr at (0.0000, 0.0000, 0.0000) and S at (0.0000, 0.0000, 0.3439).

The value obtained for the uncorrected energy is -6.805 eV/atom.

(3)
Below is crystalline MgHg2B at its relaxed geometry, with properties calculated at the PBE level.

It has space group F-43m (No. 216), with a = 6.7074 Å, b = 6.7074 Å, c = 6.7074 Å, α = 90.00°, β = 90.00° and γ = 90.00°. Symmetry generates all atoms from Mg at (0.0000, 0.0000, 0.0000), Hg at (0.0000, 0.0000, 0.5000), Hg at (0.2500, 0.2500, 0.2500) and B at (0.2500, 0.2500, 0.7500).

The value obtained for the uncorrected energy is -1.399 eV/atom.

(4)
Below is crystalline Pr3Te2As at its relaxed geometry, with properties calculated at the PBE level.

It has space group P-3m1 (No. 164), with a = 4.4196 Å, b = 4.4196 Å, c = 11.1200 Å, α = 90.00°, β = 90.00° and γ = 120.00°. Symmetry generates all atoms from Pr at (0.0000, 0.0000, 0.0000), Pr at (0.3333, 0.6667, 0.3556), Te at (0.3333, 0.6667, 0.8262) and As at (0.0000, 0.0000, 0.5000).

The value obtained for the uncorrected energy is -5.715 eV/atom.

(5)
Below is crystalline ScTl2AgF6 at its relaxed geometry, with properties calculated at the PBE level.

It has space group I4/m (No. 87), with a = 6.0183 Å, b = 6.0183 Å, c = 8.7709 Å, α = 90.00°, β = 90.00° and γ = 90.00°. Symmetry generates all atoms from Sc at (0.0000, 0.0000, 0.0000), Tl at (0.0000, 0.5000, 0.2500), Ag at (0.0000, 0.0000, 0.5000), F at (0.0000, 0.0000, 0.2287) and F at (0.1714, 0.7143, 0.0000).

The value obtained for the uncorrected energy is -4.997 eV/atom. The relative energy among the computed polymorphs is 0 meV/atom.

(6)
Below is crystalline Sm3Er3Te2Pt at its relaxed geometry, with properties calculated at the PBE level.

It has space group P-62m (No. 189), with a = 8.5271 Å, b = 8.5271 Å, c = 3.9184 Å, α = 90.00°, β = 90.00° and γ = 120.00°. Symmetry generates all atoms from Sm at (0.0000, 0.2509, 0.0000), Er at (0.0000, 0.5988, 0.5000), Te at (0.3333, 0.6667, 0.0000) and Pt at (0.0000, 0.0000, 0.5000).

The value obtained for the uncorrected energy is -5.305 eV/atom. The relative energy among the computed polymorphs is 107 meV/atom.

Number 2 is which compound? ZrS2

Look up the uncorrected energy of the fourth one. -5.715 eV/atom

Which formula does entry 2 have? ZrS2

Which formula does entry 4 have? Pr3Te2As